Compound: NdY3Tm2P6
Source: the Alexandria database
Functional: PBE-GGA
Structure: optimized geometry

Magnetic moment in μB per formula unit: 0.00
DFT total energy in eV for the cell shown: -169.408

abc: 6.9623 12.0580 6.9633
angles: 90.00 109.47 90.00
Space group C2/m (No. 12)
Unique sites:
1 Nd 0.0000 0.0000 0.0000 [2 per cell]
2 Y 0.0000 0.1653 0.5000 [4 per cell]
3 Y 0.0000 0.5000 0.5000 [2 per cell]
4 Tm 0.0000 0.3329 0.0000 [4 per cell]
5 P 0.2426 0.5000 0.2495 [4 per cell]
6 P 0.2462 0.3297 0.7497 [8 per cell]



Compound: Mg2ZnCuOs
Source: the Alexandria database
Functional: PBE-GGA
Structure: optimized geometry

Magnetic moment in μB per formula unit: 0.00
DFT total energy in eV for the cell shown: -15.375

abc: 5.0320 5.0320 4.6231
angles: 90.00 90.00 90.00
Space group P4/mmm (No. 123)
Unique sites:
1 Mg 0.0000 0.5000 0.0000 [2 per cell]
2 Zn 0.0000 0.0000 0.5000 [1 per cell]
3 Cu 0.5000 0.5000 0.5000 [1 per cell]
4 Os 0.5000 0.5000 0.0000 [1 per cell]



Compound: CdInNi2
Source: the Alexandria database
Functional: PBE-GGA
Structure: optimized geometry

Magnetic moment in μB per formula unit: 0.00
DFT total energy in eV for the cell shown: -29.283

abc: 8.3777 3.0773 5.1878
angles: 90.00 103.09 90.00
Space group C2/m (No. 12)
Unique sites:
1 Cd 0.0000 0.0000 0.0000 [2 per cell]
2 In 0.0000 0.5000 0.5000 [2 per cell]
3 Ni 0.2481 0.0000 0.7345 [4 per cell]



Q: DFT total energy of number 1 (NdY3Tm2P6)?
A: -169.408 eV for the cell shown